# PBE LiDyU2S4, optimized geometry
# Volume ... 20.39 A^3/atom
# E_form (uncorrected) ... -12.2 eV per formula unit
# ρ ... 7.88 g/cm³
# DOS at the Fermi energy ... 1.057 states/eV per atom
# Size of the total moment ... 5.6 μB per formula unit
data_LiDyU2S4
_space_group_name_H-M_alt 'P 1 2/m 1'
_space_group_IT_number 10
_cell_length_a 6.566
_cell_length_b 3.798
_cell_length_c 6.902
_cell_angle_alpha 90.00
_cell_angle_beta 108.56
_cell_angle_gamma 90.00
loop_
_space_group_symop_operation_xyz
'x,y,z'
'-x,-y,-z'
'-x,y,-z'
'x,-y,z'
loop_
_atom_site_label
_atom_site_type_symbol
_atom_site_fract_x
_atom_site_fract_y
_atom_site_fract_z
Li1 Li 0.000 0.000 0.000
Dy1 Dy 0.500 0.500 0.000
U1 U 0.000 0.500 0.500
U2 U 0.500 0.000 0.500
S1 S 0.240 0.500 0.239
S2 S 0.245 0.000 0.758